ReOsPt2 | GGA-PBE | relaxed

Structure (POSCAR):
```
ReOsPt2
1.0
-1.940 -1.212 1.571
0.636 -2.462 -1.113
5.355 -1.190 5.696
Pt Os Re
2 1 1
direct
0.000 0.000 0.992
0.500 0.500 0.261
0.500 0.500 0.735
0.000 0.000 0.512
```

Calculated values
Calculated density, Mg/m³: 20.90
Calculated total energy, eV/atom: -9.00
Density of states at the Fermi level, states/eV/atom: 0.984

KLiAgBr3 | GGA-PBE | relaxed

Structure (POSCAR):
```
KLiAgBr3
1.0
4.236 0.000 0.000
0.000 8.788 0.363
0.000 -3.001 9.473
Br Li K Ag
6 2 2 2
direct
0.250 0.811 0.498
0.750 0.474 0.183
0.250 0.526 0.817
0.250 0.113 0.867
0.750 0.887 0.133
0.750 0.189 0.502
0.750 0.883 0.387
0.250 0.117 0.613
0.750 0.796 0.772
0.250 0.204 0.228
0.250 0.657 0.111
0.750 0.343 0.889
```

Calculated values
Calculated density, Mg/m³: 3.66
Uncorrected formation energy, meV/atom: -1184
Density of states at the Fermi level, states/eV/atom: 0.000

Tm5Sb4P | GGA-PBE | relaxed

Structure (POSCAR):
```
Tm5Sb4P
1.0
4.230 0.000 -0.596
-0.084 4.229 -0.596
0.006 0.006 15.351
Tm P Sb
5 1 4
direct
0.299 0.299 0.598
0.500 0.500 0.000
0.092 0.092 0.184
0.701 0.701 0.402
0.908 0.908 0.816
0.000 0.000 0.000
0.599 0.599 0.199
0.197 0.197 0.394
0.401 0.401 0.801
0.803 0.803 0.606
```

Calculated values
Calculated density, Mg/m³: 8.24
Uncorrected formation energy, meV/atom: -1131
Density of states at the Fermi level, states/eV/atom: 0.129

Mn2Pd6Pb | GGA-PBE | relaxed

Structure (POSCAR):
```
Mn2Pd6Pb
1.0
-4.116 1.944 -0.045
-3.294 -6.993 -0.814
3.486 2.150 4.526
Pd Mn Pb
6 2 1
direct
0.168 0.493 0.337
0.832 0.156 0.663
0.168 0.844 0.337
0.500 0.809 0.000
0.500 0.191 0.000
0.832 0.507 0.663
0.382 0.381 0.763
0.618 0.619 0.237
0.000 0.000 0.000
```

Calculated values
Calculated density, Mg/m³: 10.89
Calculated total energy, eV/atom: -5.82
Density of states at the Fermi level, states/eV/atom: 0.859

BeAl4Cr | GGA-PBE | relaxed

Structure (POSCAR):
```
BeAl4Cr
1.0
0.000 3.529 3.529
3.529 0.000 3.529
3.529 3.529 0.000
Al Cr Be
4 1 1
direct
0.375 0.375 0.375
0.375 0.375 0.875
0.875 0.375 0.375
0.375 0.875 0.375
0.000 0.000 0.000
0.750 0.750 0.750
```

Calculated values
Calculated density, Mg/m³: 3.19
Calculated total energy, eV/atom: -4.33
Density of states at the Fermi level, states/eV/atom: 0.588

LaTaCo2 | GGA-PBE | relaxed

Structure (POSCAR):
```
LaTaCo2
1.0
4.376 -1.407 0.331
0.948 -4.483 0.495
1.935 -2.342 -3.465
Co La Ta
2 1 1
direct
0.750 0.750 0.750
0.250 0.250 0.250
0.000 0.000 0.000
0.500 0.500 0.500
```

Calculated values
Calculated density, Mg/m³: 10.50
Calculated total energy, eV/atom: -7.45
Density of states at the Fermi level, states/eV/atom: 1.137

SmTm2Hg2 | GGA-PBE | relaxed

Structure (POSCAR):
```
SmTm2Hg2
1.0
-0.485 2.988 -2.138
-0.907 -3.143 -4.185
-13.072 -1.557 4.001
Hg Sm Tm
4 2 4
direct
0.645 0.750 0.288
0.355 0.250 0.712
0.545 0.250 0.090
0.455 0.750 0.910
0.852 0.750 0.707
0.148 0.250 0.293
0.952 0.250 0.904
0.236 0.750 0.473
0.048 0.750 0.096
0.764 0.250 0.527
```

Calculated values
Calculated density, Mg/m³: 11.01
Calculated total energy, eV/atom: -3.23
Density of states at the Fermi level, states/eV/atom: 0.895

KFe2Ni | GGA-PBE | relaxed

Structure (POSCAR):
```
KFe2Ni
1.0
2.996 0.000 0.000
0.000 2.959 0.014
0.000 2.922 8.058
Fe Ni K
2 1 1
direct
0.000 0.010 0.990
0.500 0.347 0.154
0.500 0.663 0.838
0.000 0.480 0.518
```

Calculated values
Calculated density, Mg/m³: 4.88
Calculated total energy, eV/atom: -5.37
Density of states at the Fermi level, states/eV/atom: 0.752